(1)
## La8TeRu3Br4 (PBE)

Data for a relaxed structure of La8TeRu3Br4.

Unit cell a=8.654 b=9.223 c=8.654 alpha=117.98 beta=120.00 gamma=90.00
Positions (direct):
Ru  0.000  0.500  0.500
Ru  0.500  0.500  0.000
Ru  0.500  0.500  0.500
La  0.735  0.705  0.470
Br  0.000  0.000  0.000
Br  0.500  0.000  0.500
La  0.300  0.301  0.051
Te  0.000  0.500  0.000
La  0.265  0.295  0.530
La  0.751  0.301  0.051
La  0.700  0.699  0.949
Br  0.000  0.000  0.500
La  0.249  0.699  0.498
Br  0.500  0.000  0.000
La  0.751  0.301  0.502
La  0.249  0.699  0.949

Properties
**ΔE_f (raw)**: -1020 meV per atom

(2)
## NaAs3O8 (PBE)

Data for a relaxed structure of NaAs3O8.

Unit cell a=4.843 b=4.843 c=8.400 alpha=90.00 beta=90.00 gamma=120.00
Positions (direct):
O  0.698  0.010  0.368
Na  0.000  0.000  0.000
O  0.990  0.688  0.368
O  0.333  0.667  0.902
As  0.000  0.000  0.500
O  0.312  0.302  0.368
O  0.010  0.312  0.632
As  0.333  0.667  0.705
O  0.667  0.333  0.098
O  0.302  0.990  0.632
As  0.667  0.333  0.295
O  0.688  0.698  0.632

Properties
**ΔE_f (raw)**: -1195 meV per atom

(3)
## Mg2In5Ni3 (PBE)

Data for a relaxed structure of Mg2In5Ni3.

Unit cell a=4.353 b=6.245 c=14.328 alpha=90.00 beta=98.74 gamma=90.00
Positions (direct):
Ni  0.612  0.540  0.224
Mg  0.520  0.321  0.039
Ni  0.388  0.040  0.776
In  0.051  0.619  0.101
Mg  0.480  0.821  0.961
Ni  0.039  0.049  0.078
Mg  0.847  0.251  0.694
In  0.719  0.884  0.438
In  0.124  0.266  0.249
In  0.413  0.449  0.825
In  0.702  0.380  0.403
In  0.949  0.119  0.899
Ni  0.211  0.106  0.422
In  0.281  0.384  0.562
Ni  0.789  0.606  0.578
Mg  0.153  0.751  0.306
In  0.298  0.880  0.597
In  0.587  0.949  0.175
Ni  0.961  0.549  0.922
In  0.876  0.766  0.751

Properties
**Energy relative to the elements**: -2.3 kcal/mol of atoms

(4)
## SrIrAu4 (PBE)

Data for a relaxed structure of SrIrAu4.

Unit cell a=5.563 b=5.563 c=5.563 alpha=60.00 beta=60.00 gamma=60.00
Positions (direct):
Au  0.376  0.376  0.873
Au  0.873  0.376  0.376
Au  0.376  0.873  0.376
Au  0.376  0.376  0.376
Ir  0.750  0.750  0.750
Sr  0.000  0.000  0.000

Properties
**Energy relative to the elements**: 0.0 kcal/mol of atoms

(5)
## NbSnAsSe2 (PBE)

Data for a relaxed structure of NbSnAsSe2.

Unit cell a=5.191 b=5.191 c=5.116 alpha=90.00 beta=90.00 gamma=90.00
Positions (direct):
Sn  0.000  0.000  0.000
As  0.000  0.000  0.500
Nb  0.500  0.500  0.500
Se  0.500  0.000  0.000
Se  0.000  0.500  0.000

Properties
**ΔE_f (raw)**: 938 meV per atom
**Energy relative to the lowest polymorph listed for this composition**: 0.972 eV/atom

(6)
## ZrGaC3 (PBE)

Data for a relaxed structure of ZrGaC3.

Unit cell a=3.919 b=3.919 c=3.919 alpha=90.00 beta=90.00 gamma=90.00
Positions (direct):
C  0.000  0.500  0.000
Ga  0.000  0.000  0.000
Zr  0.500  0.500  0.500
C  0.500  0.000  0.000
C  0.000  0.000  0.500

Properties
**Energy relative to the elements**: 41.4 kcal/mol of atoms
**Energy relative to the lowest polymorph listed for this composition**: 0.000 eV/atom

(7)
## Cs2RbNaAu2 (PBE)

Data for a relaxed structure of Cs2RbNaAu2.

Unit cell a=5.420 b=8.963 c=10.554 alpha=90.00 beta=90.00 gamma=90.00
Positions (direct):
Rb  0.000  0.479  0.557
Cs  0.500  0.019  0.097
Na  0.500  0.152  0.672
Na  0.500  0.652  0.328
Au  0.000  0.748  0.165
Au  0.500  0.783  0.616
Au  0.000  0.248  0.835
Cs  0.000  0.864  0.825
Cs  0.000  0.364  0.175
Au  0.500  0.283  0.384
Cs  0.500  0.519  0.903
Rb  0.000  0.979  0.443

Properties
**Energy relative to the elements**: -4.4 kcal/mol of atoms

(8)
## NaAuCl3 (PBE)

Data for a relaxed structure of NaAuCl3.

Unit cell a=5.014 b=11.872 c=7.824 alpha=89.97 beta=90.00 gamma=102.24
Positions (direct):
Au  0.787  0.851  0.844
Cl  0.138  0.561  0.343
Cl  0.794  0.866  0.144
Au  0.624  0.535  0.344
Na  0.269  0.817  0.346
Cl  0.273  0.825  0.843
Cl  0.796  0.870  0.545
Na  0.142  0.568  0.846
Cl  0.615  0.516  0.045
Cl  0.617  0.519  0.644

Properties
**ΔE_f (raw)**: -987 meV per atom
**Energy relative to the lowest polymorph listed for this composition**: 0.000 eV/atom

(9)
## MnNiCl2 (PBE)

Data for a relaxed structure of MnNiCl2.

Unit cell a=7.118 b=7.118 c=7.118 alpha=153.75 beta=150.94 gamma=39.56
Positions (direct):
Ni  0.284  0.784  0.500
Mn  0.428  0.428  0.000
Cl  0.013  0.013  0.000
Cl  0.775  0.275  0.500

Properties
**ΔE_f (raw)**: -220 meV per atom
**Energy relative to the lowest polymorph listed for this composition**: 0.170 eV/atom

(10)
## RePb2Br (PBE)

Data for a relaxed structure of RePb2Br.

Unit cell a=6.946 b=6.946 c=6.946 alpha=144.86 beta=144.86 gamma=50.55
Positions (direct):
Re  0.500  0.500  0.000
Pb  0.000  0.000  0.000
Br  0.750  0.250  0.500
Pb  0.250  0.750  0.500

Properties
**ΔE_f (raw)**: 1042 meV per atom
**Energy relative to the lowest polymorph listed for this composition**: 0.485 eV/atom

(11)
## CdTe2Pb (PBE)

Data for a relaxed structure of CdTe2Pb.

Unit cell a=6.623 b=6.623 c=6.623 alpha=145.41 beta=133.72 gamma=59.04
Positions (direct):
Pb  0.250  0.750  0.500
Te  0.493  0.493  0.000
Cd  0.750  0.250  0.500
Te  0.007  0.007  0.000

Properties
**ΔE_f (raw)**: 52 meV per atom

(12)
## Ba2AlW (PBE)

Data for a relaxed structure of Ba2AlW.

Unit cell a=5.549 b=5.549 c=5.544 alpha=120.10 beta=120.10 gamma=89.83
Positions (direct):
Ba  0.250  0.750  0.500
Al  0.750  0.250  0.500
W  0.500  0.500  0.000
Ba  0.000  0.000  0.000

Properties
**Energy relative to the elements**: 23.7 kcal/mol of atoms